This record from Alexandria via LeMat-Bulk describes an optimized crystal structure of SbBr. The functional is PBE.

Cell and atoms, written as POSCAR:
```
SbBr
1.0
1.7533 -3.0847 0.0000
1.7533 3.0847 0.0000
0.0000 0.0000 5.0483
Sb Br
1 1
Direct
0.0000 0.0000 0.0000
0.5000 0.5000 0.5000
```

Calculated values
**Energy relative to the elements, uncorrected**: 0.034 eV per atom
**Symmetry**: Cmmm, No. 65


This record from Alexandria via LeMat-Bulk describes an optimized crystal structure of SbBr2. The functional is PBE.

Cell and atoms, written as POSCAR:
```
SbBr2
1.0
3.7498 0.0000 0.0000
-1.8749 3.2474 0.0000
0.0000 0.0000 15.4611
Sb Br
2 4
Direct
0.0000 0.0000 0.2500
0.0000 0.0000 0.7500
0.3333 0.6667 0.1144
0.3333 0.6667 0.3856
0.6667 0.3333 0.6144
0.6667 0.3333 0.8856
```

Calculated values
**Energy relative to the elements, uncorrected**: -0.193 eV per atom
**Symmetry**: P6_3/mmc, No. 194


This record from Alexandria via LeMat-Bulk describes an optimized crystal structure of SbBr. The functional is PBE.

Cell and atoms, written as POSCAR:
```
SbBr
1.0
2.1052 1.2154 8.9810
-2.1052 1.2154 8.9810
0.0000 -2.4309 8.9810
Sb Br
2 2
Direct
0.1375 0.1375 0.1375
0.8625 0.8625 0.8625
0.3953 0.3953 0.3953
0.6047 0.6047 0.6047
```

Calculated values
**Energy relative to the elements, uncorrected**: -0.062 eV per atom
**Symmetry**: R-3m, No. 166


This record from Alexandria via LeMat-Bulk describes an optimized crystal structure of SbBr2. The functional is PBE.

Cell and atoms, written as POSCAR:
```
SbBr2
1.0
-1.7699 2.7485 4.3800
1.7699 -2.7485 4.3800
1.7699 2.7485 -4.3800
Sb Br
1 2
Direct
0.0000 0.0000 0.0000
0.3209 0.3209 0.0000
0.6791 0.6791 0.0000
```

Calculated values
**Energy relative to the elements, uncorrected**: 0.008 eV per atom
**Symmetry**: Immm, No. 71


This record from Alexandria via LeMat-Bulk describes an optimized crystal structure of SbBr. The functional is PBE.

Cell and atoms, written as POSCAR:
```
SbBr
1.0
8.6531 0.0000 0.0000
0.0000 8.6531 0.0000
0.0000 0.0000 8.6531
Sb Br
6 6
Direct
0.0000 0.2500 0.5000
0.0000 0.7500 0.5000
0.2500 0.5000 0.0000
0.5000 0.0000 0.2500
0.5000 0.0000 0.7500
0.7500 0.5000 0.0000
0.0000 0.5000 0.2500
0.0000 0.5000 0.7500
0.2500 0.0000 0.5000
0.5000 0.2500 0.0000
0.5000 0.7500 0.0000
0.7500 0.0000 0.5000
```

Calculated values
**Energy relative to the elements, uncorrected**: 0.631 eV per atom
**Symmetry**: Pm-3n, No. 223


This record from Alexandria via LeMat-Bulk describes an optimized crystal structure of SbBr2. The functional is PBE.

Cell and atoms, written as POSCAR:
```
SbBr2
1.0
7.8209 -2.0219 0.0000
7.8209 2.0219 0.0000
-2.5928 0.0000 7.5261
Sb Br
2 4
Direct
0.0286 0.0286 0.2091
0.9714 0.9714 0.7909
0.3383 0.3383 0.7477
0.4022 0.4022 0.2209
0.5978 0.5978 0.7791
0.6617 0.6617 0.2523
```

Calculated values
**Energy relative to the elements, uncorrected**: -0.457 eV per atom
**Symmetry**: C2/m, No. 12


This record from Alexandria via LeMat-Bulk describes an optimized crystal structure of SbBr. The functional is PBE.

Cell and atoms, written as POSCAR:
```
SbBr
1.0
7.2570 0.0000 0.0000
0.0000 7.5415 0.0000
0.0000 0.0000 10.5364
Sb Br
8 8
Direct
0.1727 0.0776 0.4259
0.2301 0.5626 0.0054
0.2699 0.4374 0.5054
0.3273 0.9224 0.9259
0.6727 0.4224 0.5741
0.7301 0.9374 0.9946
0.7699 0.0626 0.4946
0.8273 0.5776 0.0741
0.1280 0.1590 0.1876
0.1343 0.3481 0.7265
0.3657 0.6520 0.2265
0.3720 0.8410 0.6876
0.6280 0.3410 0.8124
0.6343 0.1520 0.2735
0.8657 0.8480 0.7735
0.8720 0.6590 0.3124
```

Calculated values
**Energy relative to the elements, uncorrected**: -0.272 eV per atom
**Symmetry**: P2_12_12_1, No. 19


This record from Alexandria via LeMat-Bulk describes an optimized crystal structure of SbBr. The functional is PBE.

Cell and atoms, written as POSCAR:
```
SbBr
1.0
3.7832 0.0000 0.0000
0.0000 3.7832 0.0000
0.0000 0.0000 3.7832
Sb Br
1 1
Direct
0.0000 0.0000 0.0000
0.5000 0.5000 0.5000
```

Calculated values
**Energy relative to the elements, uncorrected**: 0.325 eV per atom
**Symmetry**: Pm-3m, No. 221


This record from Alexandria via LeMat-Bulk describes an optimized crystal structure of Sb2Br13. The functional is PBE.

Cell and atoms, written as POSCAR:
```
Sb2Br13
1.0
7.7635 0.0000 0.0000
3.0416 8.0105 0.0000
1.8000 1.5849 10.3403
Sb Br
2 13
Direct
0.1459 0.1189 0.2491
0.8541 0.8811 0.7509
0.0000 0.0000 0.5000
0.1049 0.8648 0.1820
0.1280 0.3759 0.3455
0.2218 0.7221 0.7904
0.2339 0.2413 0.0208
0.3976 0.5366 0.5978
0.4703 0.9566 0.3093
0.5297 0.0434 0.6907
0.6024 0.4634 0.4022
0.7661 0.7587 0.9792
0.7782 0.2779 0.2096
0.8720 0.6241 0.6545
0.8951 0.1352 0.8180
```

Calculated values
**Energy relative to the elements, uncorrected**: -0.216 eV per atom
**Symmetry**: P-1, No. 2


This record from Alexandria via LeMat-Bulk describes an optimized crystal structure of SbBr3. The functional is PBE.

Cell and atoms, written as POSCAR:
```
SbBr3
1.0
0.0000 3.7134 3.7134
3.7134 0.0000 3.7134
3.7134 3.7134 0.0000
Sb Br
1 3
Direct
0.0000 0.0000 0.0000
0.2500 0.2500 0.2500
0.5000 0.5000 0.5000
0.7500 0.7500 0.7500
```

Calculated values
**Energy relative to the elements, uncorrected**: 0.050 eV per atom
**Symmetry**: Fm-3m, No. 225


This record from Alexandria via LeMat-Bulk describes an optimized crystal structure of Sb5Br3. The functional is PBE.

Cell and atoms, written as POSCAR:
```
Sb5Br3
1.0
4.2907 -9.1950 0.0000
4.2907 9.1950 0.0000
-3.1564 0.0000 8.6845
Sb Br
10 6
Direct
0.0000 0.0000 0.0000
0.1677 0.1677 0.7743
0.2624 0.4179 0.0525
0.3719 0.6369 0.6574
0.4179 0.2624 0.0525
0.5829 0.7390 0.9673
0.6369 0.3719 0.6574
0.7168 0.9682 0.6216
0.7390 0.5829 0.9673
0.9682 0.7168 0.6216
0.2470 0.7742 0.8356
0.4034 0.4034 0.5020
0.5496 0.9732 0.3862
0.7742 0.2470 0.8356
0.7738 0.7738 0.4184
0.9732 0.5496 0.3862
```

Calculated values
**Energy relative to the elements, uncorrected**: -0.153 eV per atom
**Symmetry**: Cm, No. 8


This record from Alexandria via LeMat-Bulk describes an optimized crystal structure of SbBr. The functional is PBE.

Cell and atoms, written as POSCAR:
```
SbBr
1.0
5.8553 -2.0947 0.0000
5.8553 2.0947 0.0000
-1.3879 0.0000 6.2474
Sb Br
2 2
Direct
0.2016 0.2016 0.3463
0.7984 0.7984 0.6537
0.3898 0.3898 0.1952
0.6102 0.6102 0.8048
```

Calculated values
**Energy relative to the elements, uncorrected**: -0.305 eV per atom
**Symmetry**: C2/m, No. 12